(1)
NdSm8Dy2 | PBE | optimized geometry

Cell: 11.221 7.427 9.303 Å, 90.00 106.67 90.00°
Space group C2/m (No. 12)
Asymmetric unit:
Nd 0.000 0.000 0.000 (multiplicity 2)
Sm 0.069 0.281 0.271 (multiplicity 8)
Sm 0.169 0.500 0.619 (multiplicity 4)
Sm 0.194 0.500 0.999 (multiplicity 4)
Dy 0.143 0.000 0.620 (multiplicity 4)

Values from the calculation:
For the energy of formation from the pure elements, the calculation gives 0.1178 eV per atom. The total energy is -0.337 Ry/atom. The calculation puts the polymorph energy (0 for the lowest one) at 0 meV/atom. The density of states at the Fermi level comes out at 1.44 states/eV/atom.

***

(2)
UTlPtS4 | PBE | optimized geometry

Cell: 6.428 6.041 8.837 Å, 90.00 106.35 90.00°
Space group P2_1/m (No. 11)
Asymmetric unit:
U 0.244 0.250 0.048 (multiplicity 2)
Tl 0.255 0.250 0.538 (multiplicity 2)
Pt 0.235 0.750 0.873 (multiplicity 2)
S 0.032 0.519 0.202 (multiplicity 4)
S 0.458 0.750 0.690 (multiplicity 2)
S 0.481 0.750 0.117 (multiplicity 2)

Values from the calculation:
The total energy is -0.432 Ry/atom. The density of states at the Fermi level comes out at 0.53 states/eV/atom. The energy relative to the elements, uncorrected is -0.708 eV per atom.